# 1
RbCoIBr2: optimized geometry, PBE.

Cell: 5.265 5.265 5.543 Å, 90.00 90.00 90.00°
Sites, in units of the cell vectors:
Rb 0.000 0.000 0.000
Co 0.500 0.500 0.500
I 0.500 0.500 0.000
Br 0.000 0.500 0.500
Br 0.500 0.000 0.500

For the uncorrected formation energy, the calculation gives -0.65 eV per atom. Its space group is P4/mmm, No. 123. As for the crystal system: tetragonal.

# 2
Rb2CoIBr6: optimized geometry, PBE.

Cell: 8.063 8.063 8.063 Å, 122.46 122.46 85.80°
Sites, in units of the cell vectors:
Rb 0.250 0.750 0.500
Rb 0.750 0.250 0.500
Co 0.000 0.000 0.000
I 0.500 0.500 0.000
Br 0.202 0.202 0.000
Br 0.228 0.228 0.456
Br 0.228 0.772 0.000
Br 0.772 0.228 0.000
Br 0.772 0.772 0.544
Br 0.798 0.798 0.000

For the uncorrected formation energy, the calculation gives -0.74 eV per atom. Its space group is I4/mmm, No. 139. As for the crystal system: tetragonal.

# 3
Co2RhIBr: optimized geometry, PBE.

Cell: 4.273 4.273 7.245 Å, 90.00 90.00 90.00°
Sites, in units of the cell vectors:
Co 0.000 0.500 0.000
Co 0.500 0.000 0.000
Rh 0.000 0.000 0.500
I 0.500 0.500 0.500
Br 0.500 0.500 0.000

For the uncorrected formation energy, the calculation gives 1.28 eV per atom. Its space group is P4/mmm, No. 123. As for the crystal system: tetragonal.

# 4
Co2SbIBr: optimized geometry, PBE.

Cell: 4.670 4.670 6.500 Å, 90.00 90.00 90.00°
Sites, in units of the cell vectors:
Co 0.000 0.500 0.000
Co 0.500 0.000 0.000
Sb 0.000 0.000 0.500
I 0.000 0.000 0.000
Br 0.500 0.500 0.500

For the uncorrected formation energy, the calculation gives 1.17 eV per atom. Its space group is P4/mmm, No. 123. As for the crystal system: tetragonal.

# 5
CoSe2IBr: optimized geometry, PBE.

Cell: 4.817 4.817 4.915 Å, 90.00 90.00 90.00°
Sites, in units of the cell vectors:
Co 0.000 0.000 0.000
Se 0.000 0.500 0.000
Se 0.500 0.000 0.000
I 0.500 0.500 0.500
Br 0.000 0.000 0.500

For the uncorrected formation energy, the calculation gives 0.31 eV per atom. Its space group is P4/mmm, No. 123. Its energy relative to the lowest polymorph listed for this composition is 0.0 meV per atom. As for the crystal system: tetragonal.

# 6
Sm4CoI2Br: optimized geometry, PBE.

Cell: 7.781 4.064 8.142 Å, 90.00 106.84 90.00°
Sites, in units of the cell vectors:
Sm 0.190 0.000 0.186
Sm 0.221 0.500 0.806
Sm 0.779 0.500 0.194
Sm 0.810 0.000 0.814
Co 0.000 0.500 0.000
I 0.000 0.000 0.500
I 0.500 0.500 0.500
Br 0.500 0.000 0.000

For the uncorrected formation energy, the calculation gives -0.78 eV per atom. Its space group is P2/m, No. 10. As for the crystal system: monoclinic.

# 7
Ta2CoIBr: optimized geometry, PBE.

Cell: 4.942 4.942 4.182 Å, 90.00 90.00 90.00°
Sites, in units of the cell vectors:
Ta 0.000 0.500 0.000
Ta 0.500 0.000 0.000
Co 0.000 0.000 0.500
I 0.500 0.500 0.500
Br 0.000 0.000 0.000

For the uncorrected formation energy, the calculation gives 1.54 eV per atom. Its space group is P4/mmm, No. 123. As for the crystal system: tetragonal.

# 8
Ti2CoIBr: optimized geometry, PBE.

Cell: 4.627 4.627 6.325 Å, 90.00 90.00 90.00°
Sites, in units of the cell vectors:
Ti 0.000 0.500 0.000
Ti 0.500 0.000 0.000
Co 0.000 0.000 0.500
I 0.500 0.500 0.500
Br 0.500 0.500 0.000

For the uncorrected formation energy, the calculation gives 1.32 eV per atom. Its space group is P4/mmm, No. 123. As for the crystal system: tetragonal.

Number 1: energy -16.2 eV/cell. Number 2: energy -28.1 eV/cell. Number 3: energy -18.4 eV/cell. Number 4: energy -15.7 eV/cell. Number 5: energy -15.7 eV/cell. Number 6: energy -37.0 eV/cell. Number 7: energy -26.3 eV/cell. Number 8: energy -19.5 eV/cell.